No. 1
An optimized crystal structure of Zr4SbPC2. Source: the Open Quantum Materials Database, functional PBE.

Cell lengths 3.4425, 3.4425, 13.2387 Å; angles 90.00, 90.00, 120.00 degrees
Space group P-6m2 (No. 187)
Inequivalent atoms, fractional coordinates:
1 Zr 0.0000 0.0000 0.1352 (multiplicity 2)
2 Zr 0.3333 0.6667 0.3257 (multiplicity 2)
3 Sb 0.0000 0.0000 0.5000 (multiplicity 1)
4 P 0.3333 0.6667 0.0000 (multiplicity 1)
5 C 0.6667 0.3333 0.2330 (multiplicity 2)

Calculated values
* density: 6.62 g/cm3
* E_tot: -8.70 eV/atom



No. 2
An optimized crystal structure of Sc2Ta4P3C3. Source: the Open Quantum Materials Database, functional PBE.

Cell lengths 9.922, 5.735, 12.225 Å; angles 90.00, 105.72, 90.00 degrees
Space group C2/c (No. 15)
Inequivalent atoms, fractional coordinates:
1 Sc 0.045 0.081 0.394 (multiplicity 8)
2 Ta 0.116 0.411 0.600 (multiplicity 8)
3 Ta 0.219 0.419 0.900 (multiplicity 8)
4 P 0.000 0.423 0.250 (multiplicity 4)
5 P 0.170 0.086 0.751 (multiplicity 8)
6 C 0.085 0.256 0.000 (multiplicity 8)
7 C 0.250 0.250 0.500 (multiplicity 4)

Calculated values
* density: 9.35 g/cm3
* E_tot: -9.53 eV/atom